Entry 1:
Compound: Y4PHSe2
Source: Alexandria
Functional: GGA-PBE
Structure: optimized geometry

The structure in POSCAR format:
```
Y4PHSe2
1.0
-2.330 -3.155 0.599
4.498 -2.488 4.391
-4.527 4.002 3.465
Y P H Se
4 1 1 2
direct
0.500 0.244 0.228 Y
0.500 0.756 0.772 Y
0.000 0.254 0.765 Y
0.000 0.746 0.235 Y
0.000 0.000 0.000 P
0.500 0.500 0.000 H
0.500 0.000 0.500 Se
0.000 0.500 0.500 Se
```

Results
As for the crystal system: monoclinic. As for the total energy: -6.5656 eV per atom. The value obtained for the total magnetization is 0.00 μB/f.u.

Entry 2:
Compound: Y8P3HSe4
Source: Alexandria
Functional: GGA-PBE
Structure: optimized geometry

The structure in POSCAR format:
```
Y8P3HSe4
1.0
7.976 0.000 0.000
0.000 8.093 0.076
-3.988 -3.983 5.642
Y P H Se
8 3 1 4
direct
0.246 0.732 0.986 Y
0.246 0.732 0.493 Y
0.258 0.273 0.516 Y
0.739 0.732 0.986 Y
0.261 0.268 0.014 Y
0.742 0.727 0.484 Y
0.754 0.268 0.507 Y
0.754 0.268 0.014 Y
0.500 0.500 0.000 P
0.500 0.500 0.500 P
0.000 0.500 0.500 P
0.000 0.500 0.000 H
0.500 0.000 0.000 Se
0.500 0.000 0.500 Se
0.000 0.000 0.000 Se
0.000 0.000 0.500 Se
```

Results
As for the crystal system: trigonal. As for the total energy: -6.9035 eV per atom. The value obtained for the total magnetization is 0.00 μB/f.u.

Entry 3:
Compound: SiP2H
Source: Alexandria
Functional: GGA-PBE
Structure: optimized geometry

The structure in POSCAR format:
```
SiP2H
1.0
5.602 0.000 -0.001
0.000 3.614 0.000
-2.655 0.000 5.756
Si P H
2 4 2
direct
0.891 0.000 0.408 Si
0.891 0.500 0.908 Si
0.587 0.000 0.847 P
0.587 0.500 0.347 P
0.106 0.000 0.809 P
0.106 0.500 0.309 P
0.489 0.000 0.600 H
0.489 0.500 0.100 H
```

Results
As for the crystal system: monoclinic. As for the total energy: -4.7890 eV per atom. The value obtained for the total magnetization is 0.00 μB/f.u.

Entry 4:
Compound: SiP2H
Source: Alexandria
Functional: GGA-PBE
Structure: optimized geometry

The structure in POSCAR format:
```
SiP2H
1.0
-0.327 3.057 -1.438
1.090 -2.841 -5.654
-5.334 -1.749 1.732
Si P H
2 4 2
direct
0.543 0.919 0.571 Si
0.042 0.419 0.571 Si
0.146 0.801 0.806 P
0.939 0.037 0.336 P
0.419 0.540 0.344 P
0.665 0.297 0.797 P
0.043 0.918 0.071 H
0.043 0.419 0.071 H
```

Results
As for the crystal system: triclinic. As for the total energy: -4.6393 eV per atom. The value obtained for the total magnetization is 0.00 μB/f.u.

Entry 5:
Compound: SiP3H
Source: Alexandria
Functional: GGA-PBE
Structure: optimized geometry

The structure in POSCAR format:
```
SiP3H
1.0
-0.448 -3.463 -2.855
2.141 -2.686 2.922
-3.944 -1.065 1.910
P Si H
3 1 1
direct
0.000 0.500 0.000 P
0.000 0.000 0.500 P
0.500 0.000 0.000 P
0.000 0.000 0.000 Si
0.500 0.500 0.500 H
```

Results
As for the crystal system: cubic. As for the total energy: -3.7381 eV per atom. The value obtained for the total magnetization is 0.61 μB/f.u.

Entry 6:
Compound: SiP3H
Source: Alexandria
Functional: GGA-PBE
Structure: optimized geometry

The structure in POSCAR format:
```
SiP3H
1.0
-1.727 3.260 1.457
-2.715 -2.250 1.816
2.319 -0.207 3.211
P Si H
3 1 1
direct
0.000 0.500 0.000 P
0.000 0.000 0.500 P
0.500 0.000 0.000 P
0.500 0.500 0.500 Si
0.000 0.000 0.000 H
```

Results
As for the crystal system: cubic. As for the total energy: -4.1390 eV per atom. The value obtained for the total magnetization is 0.00 μB/f.u.

Entry 7:
Compound: SiP2H
Source: Alexandria
Functional: GGA-PBE
Structure: optimized geometry

The structure in POSCAR format:
```
SiP2H
1.0
-2.843 -4.049 0.479
1.859 -1.807 -4.240
3.014 -5.098 0.581
P Si H
4 2 2
direct
0.578 0.125 0.250 P
0.172 0.625 0.250 P
0.375 0.422 0.750 P
0.875 0.828 0.750 P
0.000 0.000 0.000 Si
0.750 0.250 0.500 Si
0.500 0.500 0.000 H
0.250 0.750 0.500 H
```

Results
As for the crystal system: tetragonal. As for the total energy: -4.5085 eV per atom. The value obtained for the total magnetization is 0.00 μB/f.u.

Entry 8:
Compound: Si2PH
Source: Alexandria
Functional: GGA-PBE
Structure: optimized geometry

The structure in POSCAR format:
```
Si2PH
1.0
0.000 2.868 2.868
2.868 0.000 2.868
2.868 2.868 0.000
P Si H
1 2 1
direct
0.500 0.500 0.500 P
0.250 0.250 0.250 Si
0.750 0.750 0.750 Si
0.000 0.000 0.000 H
```

Results
As for the crystal system: cubic. As for the total energy: -4.2956 eV per atom. The value obtained for the total magnetization is 0.00 μB/f.u.